--- a ---
NaCuI2O | PBE | relaxed Values from VASP.

```
&SYSTEM
  ibrav = 0, nat = 5, ntyp = 4
/
ATOMIC_SPECIES
Na 22.99 Na.upf
Cu 63.55 Cu.upf
I 126.90 I.upf
O 16.00 O.upf
ATOMIC_POSITIONS crystal
Na 0.0000 0.0000 0.0000
Cu 0.5000 0.5000 0.5000
I 0.0000 0.5000 0.5000
I 0.5000 0.0000 0.5000
O 0.5000 0.5000 0.0000
CELL_PARAMETERS angstrom
6.0284 0.0000 0.0000
0.0000 6.0284 0.0000
0.0000 0.0000 3.5616
```

Values from the calculation:
Symmetry ... P4/mmm
Total moment ... 1.021 μB/f.u.


--- b ---
NaCuI2O | PBE | relaxed Values from VASP.

```
&SYSTEM
  ibrav = 0, nat = 5, ntyp = 4
/
ATOMIC_SPECIES
Na 22.99 Na.upf
Cu 63.55 Cu.upf
I 126.90 I.upf
O 16.00 O.upf
ATOMIC_POSITIONS crystal
Na 0.0000 0.0000 0.0000
Cu 0.5000 0.5000 0.5000
I 0.0000 0.5000 0.0000
I 0.5000 0.0000 0.0000
O 0.0000 0.0000 0.5000
CELL_PARAMETERS angstrom
5.7803 0.0000 0.0000
0.0000 5.7803 0.0000
0.0000 0.0000 4.1107
```

Values from the calculation:
Symmetry ... P4/mmm
Total moment ... 0.225 μB/f.u.


Least stable of them? b.


--- a ---
NaCuIO2 | PBE | relaxed Values from VASP.

```
&SYSTEM
  ibrav = 0, nat = 5, ntyp = 4
/
ATOMIC_SPECIES
Na 22.99 Na.upf
Cu 63.55 Cu.upf
I 126.90 I.upf
O 16.00 O.upf
ATOMIC_POSITIONS crystal
Na 0.0000 0.0000 0.0000
Cu 0.5000 0.5000 0.5000
I 0.0000 0.0000 0.5000
O 0.0000 0.5000 0.0000
O 0.5000 0.0000 0.0000
CELL_PARAMETERS angstrom
4.1969 0.0000 0.0000
0.0000 4.1969 0.0000
0.0000 0.0000 6.3731
```

Values from the calculation:
Symmetry ... P4/mmm
Total moment ... 2.890 μB/f.u.


--- b ---
NaCuIO2 | PBE | relaxed Values from VASP.

```
&SYSTEM
  ibrav = 0, nat = 5, ntyp = 4
/
ATOMIC_SPECIES
Na 22.99 Na.upf
Cu 63.55 Cu.upf
I 126.90 I.upf
O 16.00 O.upf
ATOMIC_POSITIONS crystal
Na 0.0000 0.0000 0.0000
Cu 0.5000 0.5000 0.5000
I 0.5000 0.5000 0.0000
O 0.0000 0.5000 0.5000
O 0.5000 0.0000 0.5000
CELL_PARAMETERS angstrom
4.0161 0.0000 0.0000
0.0000 4.0161 0.0000
0.0000 0.0000 5.5105
```

Values from the calculation:
Symmetry ... P4/mmm
Total moment ... 1.708 μB/f.u.


Least stable of them? a.


--- a ---
NaCuTe2I | PBE | relaxed Values from VASP.

```
&SYSTEM
  ibrav = 0, nat = 5, ntyp = 4
/
ATOMIC_SPECIES
Na 22.99 Na.upf
Cu 63.55 Cu.upf
Te 127.60 Te.upf
I 126.90 I.upf
ATOMIC_POSITIONS crystal
Na 0.0000 0.0000 0.0000
Cu 0.5000 0.5000 0.5000
Te 0.0000 0.5000 0.0000
Te 0.5000 0.0000 0.0000
I 0.0000 0.0000 0.5000
CELL_PARAMETERS angstrom
5.5430 0.0000 0.0000
0.0000 5.5430 0.0000
0.0000 0.0000 5.8114
```

Values from the calculation:
Symmetry ... P4/mmm
Total moment ... 0.000 μB/f.u.


--- b ---
NaCuTe2I | PBE | relaxed Values from VASP.

```
&SYSTEM
  ibrav = 0, nat = 5, ntyp = 4
/
ATOMIC_SPECIES
Na 22.99 Na.upf
Cu 63.55 Cu.upf
Te 127.60 Te.upf
I 126.90 I.upf
ATOMIC_POSITIONS crystal
Na 0.0000 0.0000 0.0000
Cu 0.5000 0.5000 0.5000
Te 0.0000 0.5000 0.5000
Te 0.5000 0.0000 0.5000
I 0.5000 0.5000 0.0000
CELL_PARAMETERS angstrom
4.9555 0.0000 0.0000
0.0000 4.9555 0.0000
0.0000 0.0000 7.8672
```

Values from the calculation:
Symmetry ... P4/mmm
Total moment ... 0.416 μB/f.u.


Least stable of them? a.


--- a ---
NbCuI3 | PBE | relaxed Values from VASP.

```
&SYSTEM
  ibrav = 0, nat = 5, ntyp = 3
/
ATOMIC_SPECIES
Nb 92.91 Nb.upf
Cu 63.55 Cu.upf
I 126.90 I.upf
ATOMIC_POSITIONS crystal
Nb 0.0000 0.0000 0.0000
Cu 0.5000 0.5000 0.5000
I 0.0000 0.0000 0.5000
I 0.0000 0.5000 0.0000
I 0.5000 0.0000 0.0000
CELL_PARAMETERS angstrom
5.6788 0.0000 0.0000
0.0000 5.6788 0.0000
0.0000 0.0000 5.6788
```

Values from the calculation:
Symmetry ... Pm-3m
Total moment ... 2.746 μB/f.u.


--- b ---
NbCuI3 | PBE | relaxed Values from VASP.

```
&SYSTEM
  ibrav = 0, nat = 5, ntyp = 3
/
ATOMIC_SPECIES
Nb 92.91 Nb.upf
Cu 63.55 Cu.upf
I 126.90 I.upf
ATOMIC_POSITIONS crystal
Nb 0.0000 0.0000 0.0000
Cu 0.5000 0.5000 0.5000
I 0.0000 0.5000 0.5000
I 0.5000 0.0000 0.5000
I 0.5000 0.5000 0.0000
CELL_PARAMETERS angstrom
5.3564 0.0000 0.0000
0.0000 5.3564 0.0000
0.0000 0.0000 5.3564
```

Values from the calculation:
Symmetry ... Pm-3m
Total moment ... 3.363 μB/f.u.


Least stable of them? b.


--- a ---
NbCu2I | PBE | relaxed Values from VASP.

```
&SYSTEM
  ibrav = 0, nat = 8, ntyp = 3
/
ATOMIC_SPECIES
Nb 92.91 Nb.upf
Cu 63.55 Cu.upf
I 126.90 I.upf
ATOMIC_POSITIONS crystal
Nb 0.0000 0.0000 0.0000
Nb 0.7500 0.2500 0.5000
Cu 0.1218 0.6250 0.9968
Cu 0.3750 0.3718 0.4968
Cu 0.6282 0.1250 0.0032
Cu 0.8750 0.8782 0.5032
I 0.2500 0.7500 0.5000
I 0.5000 0.5000 0.0000
CELL_PARAMETERS angstrom
-3.7116 3.7116 2.6965
3.7116 -3.7116 2.6965
3.7116 3.7116 -2.6965
```

Values from the calculation:
Symmetry ... I-42d
Total moment ... 0.000 μB/f.u.


--- b ---
NbCu2I | PBE | relaxed Values from VASP.

```
&SYSTEM
  ibrav = 0, nat = 4, ntyp = 3
/
ATOMIC_SPECIES
Nb 92.91 Nb.upf
Cu 63.55 Cu.upf
I 126.90 I.upf
ATOMIC_POSITIONS crystal
Nb 0.0000 0.0000 0.0000
Cu 0.2500 0.2500 0.2500
Cu 0.7500 0.7500 0.7500
I 0.5000 0.5000 0.5000
CELL_PARAMETERS angstrom
0.0000 3.3230 3.3230
3.3230 0.0000 3.3230
3.3230 3.3230 0.0000
```

Values from the calculation:
Symmetry ... Fm-3m
Total moment ... 1.852 μB/f.u.


Least stable of them? b.


--- a ---
Nb3CuI | PBE | relaxed Values from VASP.

```
&SYSTEM
  ibrav = 0, nat = 5, ntyp = 3
/
ATOMIC_SPECIES
Nb 92.91 Nb.upf
Cu 63.55 Cu.upf
I 126.90 I.upf
ATOMIC_POSITIONS crystal
Nb 0.0000 0.0000 0.5000
Nb 0.0000 0.5000 0.0000
Nb 0.5000 0.0000 0.0000
Cu 0.5000 0.5000 0.5000
I 0.0000 0.0000 0.0000
CELL_PARAMETERS angstrom
5.0130 0.0000 0.0000
0.0000 5.0130 0.0000
0.0000 0.0000 5.0130
```

Values from the calculation:
Symmetry ... Pm-3m
Total moment ... 2.084 μB/f.u.


--- b ---
Nb3CuI | PBE | relaxed Values from VASP.

```
&SYSTEM
  ibrav = 0, nat = 5, ntyp = 3
/
ATOMIC_SPECIES
Nb 92.91 Nb.upf
Cu 63.55 Cu.upf
I 126.90 I.upf
ATOMIC_POSITIONS crystal
Nb 0.0000 0.0000 0.5000
Nb 0.0000 0.5000 0.0000
Nb 0.5000 0.0000 0.0000
Cu 0.0000 0.0000 0.0000
I 0.5000 0.5000 0.5000
CELL_PARAMETERS angstrom
4.7681 0.0000 0.0000
0.0000 4.7681 0.0000
0.0000 0.0000 4.7681
```

Values from the calculation:
Symmetry ... Pm-3m
Total moment ... 0.000 μB/f.u.


Least stable of them? a.